A relaxed Ac2CoF8 crystal. Source: the Alexandria database, functional PBE+U.

```
11
Lattice="6.959 -2.201 0.000 6.959 2.201 0.000 -0.518 0.000 7.507" Properties=species:S:1:pos:R:3 pbc="T T T"
Ac 3.173 0.000 1.872
Ac 10.226 0.000 5.636
Co 6.700 -1.066 3.754
F 0.828 0.219 2.423
F 2.995 -0.003 4.460
F 3.644 0.016 7.037
F 5.474 -0.071 2.617
F 7.925 -0.071 4.891
F 9.756 0.016 0.470
F 10.405 -0.003 3.047
F 12.571 0.219 5.085
```

Computed properties:
Total DFT energy (no corrections) in eV per atom: -6.136